An optimized crystal structure of NaCrO2. Source: the Alexandria database, functional PBE+U.

Values from the calculation:
Total energy = -5.73 eV/atom
Space group = R-3m, No. 166

Cell and atoms, written as POSCAR:
```
NaCrO2
1.0
4.545 -4.314 1.399
4.150 -4.551 -1.816
6.008 -2.191 -0.578
Na O Cr
1 2 1
direct
0.500 0.500 0.500 Na
0.908 0.908 0.908 O
0.092 0.092 0.092 O
0.000 0.000 0.000 Cr
```